Record 1
# YHo12Tm2

Crystalline YHo12Tm2 at its relaxed geometry (PBE, the Alexandria database).

D(E_F) = 27.2 states/eV per cell
energy of formation = 114 meV/atom

Cell and atoms, written as CIF:
```
data_YHo12Tm2
_chemical_formula_sum 'Y1 Ho12 Tm2'
_cell_length_a 3.564
_cell_length_b 5.562
_cell_length_c 23.880
_cell_angle_alpha 90.00
_cell_angle_beta 94.21
_cell_angle_gamma 90.00
_space_group_name_H-M_alt 'P 1 2/m 1'
_space_group_IT_number 10
loop_
_space_group_symop_operation_xyz
'x,y,z'
'-x,-y,-z'
'-x,y,-z'
'x,-y,z'
loop_
_atom_site_label
_atom_site_fract_x
_atom_site_fract_y
_atom_site_fract_z
_atom_site_occupancy
Y1 0.000 0.000 0.000 1
Ho1 0.096 0.500 0.193 1
Ho2 0.166 0.500 0.329 1
Ho3 0.209 0.000 0.421 1
Ho4 0.278 0.500 0.556 1
Ho5 0.432 0.000 0.863 1
Ho6 0.467 0.500 0.933 1
Tm1 0.359 0.000 0.719 1
```

Record 2
# Y2Ho2Tm

Crystalline Y2Ho2Tm at its relaxed geometry (PBE, the Alexandria database).

D(E_F) = 8.4 states/eV per cell
energy of formation = 100 meV/atom
excess energy over the best structure of this formula in the dataset = 0.0890 eV per atom

Cell and atoms, written as CIF:
```
data_Y2Ho2Tm
_chemical_formula_sum 'Y4 Ho4 Tm2'
_cell_length_a 9.235
_cell_length_b 9.235
_cell_length_c 3.715
_cell_angle_alpha 90.00
_cell_angle_beta 90.00
_cell_angle_gamma 90.00
_space_group_name_H-M_alt 'P 4/m b m'
_space_group_IT_number 127
_space_group_name_Hall '-P 4 2ab'
loop_
_atom_site_label
_atom_site_fract_x
_atom_site_fract_y
_atom_site_fract_z
_atom_site_occupancy
Y1 0.171 0.329 0.000 1
Ho1 0.127 0.627 0.500 1
Tm1 0.000 0.000 0.500 1
```

Record 3
# Y3Ho2Tm6

Crystalline Y3Ho2Tm6 at its relaxed geometry (PBE, the Alexandria database).

D(E_F) = 36.3 states/eV per cell
energy of formation = 279 meV/atom
excess energy over the best structure of this formula in the dataset = 0.1902 eV per atom

Cell and atoms, written as CIF:
```
data_Y3Ho2Tm6
_chemical_formula_sum 'Y6 Ho4 Tm12'
_cell_length_a 4.686
_cell_length_b 4.686
_cell_length_c 32.801
_cell_angle_alpha 90.00
_cell_angle_beta 90.00
_cell_angle_gamma 90.00
_space_group_name_H-M_alt 'I 4/m m m'
_space_group_IT_number 139
_space_group_name_Hall '-I 4 2'
loop_
_atom_site_label
_atom_site_fract_x
_atom_site_fract_y
_atom_site_fract_z
_atom_site_occupancy
Y1 0.000 0.000 0.000 1
Y2 0.000 0.000 0.203 1
Ho1 0.000 0.000 0.454 1
Tm1 0.000 0.000 0.307 1
Tm2 0.000 0.500 0.121 1
```